Crystalline TlV3CdCu4O13 at its relaxed geometry. Source: Alexandria via LeMat-Bulk, functional PBE+U.

Cell lengths 8.4621, 6.4099, 10.9710 Å; angles 90.00, 96.17, 90.00 degrees
Last column: nearest neighbours and their distance in Å.
Sites, in units of the cell vectors:
Tl (0.0117, 0.2500, 0.4010)  6 O 2.77-3.09
Tl (0.9883, 0.7500, 0.5990)  6 O 2.77-3.09
V (0.0261, 0.7500, 0.1939)  4 O 1.70-1.78
V (0.3291, 0.7500, 0.8746)  4 O 1.70-1.81
V (0.3536, 0.7500, 0.4867)  3 O 1.68-1.73
V (0.6464, 0.2500, 0.5133)  3 O 1.68-1.73
V (0.6709, 0.2500, 0.1254)  4 O 1.70-1.81
V (0.9739, 0.2500, 0.8061)  4 O 1.70-1.78
Cd (0.3123, 0.2500, 0.6322)  4 O 2.26-2.33
Cd (0.6877, 0.7500, 0.3678)  4 O 2.26-2.33
Cu (0.0972, 0.2500, 0.1183)  4 O 1.92-2.05
Cu (0.3589, 0.2500, 0.9445)  3 O 1.94-2.00
Cu (0.3827, 0.5084, 0.2120)  4 O 1.92-1.96
Cu (0.3827, 0.9916, 0.2120)  4 O 1.92-1.96
Cu (0.6173, 0.0084, 0.7880)  4 O 1.92-1.96
Cu (0.6173, 0.4916, 0.7880)  4 O 1.92-1.96
Cu (0.6411, 0.7500, 0.0555)  3 O 1.94-2.00
Cu (0.9028, 0.7500, 0.8817)  4 O 1.92-2.05
O (0.0558, 0.2500, 0.6715)  1 V 1.70
O (0.1279, 0.2500, 0.9261)  1 V 1.75, 1 Cu 1.94
O (0.1279, 0.7500, 0.8709)  1 V 1.70
O (0.1520, 0.5280, 0.1900)  1 V 1.78, 2 Cu 1.94-1.98
O (0.1520, 0.9720, 0.1900)  1 V 1.78, 2 Cu 1.94-1.98
O (0.2406, 0.5345, 0.5176)  1 V 1.73
O (0.2406, 0.9655, 0.5176)  1 V 1.73
O (0.3407, 0.2500, 0.1252)  4 Cu 1.92-2.05
O (0.3902, 0.5095, 0.8066)  1 V 1.81, 1 Cu 1.96
O (0.3902, 0.9905, 0.8066)  1 V 1.81, 1 Cu 1.96
O (0.4108, 0.7500, 0.0277)  1 V 1.75, 1 Cu 1.94
O (0.4129, 0.7500, 0.3219)  1 V 1.93, 2 Cu 1.96
O (0.4777, 0.2500, 0.4182)  1 V 1.68
O (0.5223, 0.7500, 0.5818)  1 V 1.68
O (0.5871, 0.2500, 0.6781)  1 V 1.93, 2 Cu 1.96
O (0.5892, 0.2500, 0.9723)  1 V 1.75, 1 Cu 1.94
O (0.6098, 0.0095, 0.1934)  1 V 1.81, 1 Cu 1.96
O (0.6098, 0.4905, 0.1934)  1 V 1.81, 1 Cu 1.96
O (0.6593, 0.7500, 0.8748)  4 Cu 1.92-2.05
O (0.7594, 0.0345, 0.4824)  1 V 1.73
O (0.7594, 0.4655, 0.4824)  1 V 1.73
O (0.8480, 0.0280, 0.8100)  1 V 1.78, 2 Cu 1.94-1.98
O (0.8480, 0.4720, 0.8100)  1 V 1.78, 2 Cu 1.94-1.98
O (0.8721, 0.2500, 0.1291)  1 V 1.70
O (0.8721, 0.7500, 0.0739)  1 V 1.75, 1 Cu 1.94
O (0.9442, 0.7500, 0.3285)  1 V 1.70

Volume = 592 Å³/cell
Calculated total energy = -133.7 eV/f.u.
Density of states at the Fermi level = 6.02 states/eV/cell